Entry 1:
# Na2HgClF

An optimized crystal structure of Na2HgClF (PBE, Alexandria).

Summary:
* symmetry: P4/mmm, No. 123
* ρ: 3.3 Mg/m³
* energy relative to the elements, uncorrected: -1007 meV/atom

Structure (POSCAR):
```
Na2HgClF
1.0
-3.431 -3.256 -1.883
0.539 -3.310 4.738
-3.731 2.626 2.259
Na Hg Cl F
2 1 1 1
Direct
0.000 0.000 0.500
0.500 0.000 0.000
0.500 0.500 0.500
0.000 0.000 0.000
0.000 0.500 0.000
```

=====

Entry 2:
# Ho2NpTl3S6

An optimized crystal structure of Ho2NpTl3S6 (PBE, Alexandria).

Summary:
* symmetry: C2/m, No. 12
* ρ: 7.2 Mg/m³
* energy relative to the elements, uncorrected: -1319 meV/atom

Structure (POSCAR):
```
Ho2NpTl3S6
1.0
-3.118 -1.213 -6.143
3.049 -5.253 3.471
-6.448 0.753 4.453
Ho S Tl Np
2 6 3 1
Direct
0.667 0.333 0.000
0.333 0.667 0.000
0.271 0.271 0.803
0.066 0.403 0.197
0.597 0.934 0.803
0.403 0.066 0.197
0.729 0.729 0.197
0.934 0.597 0.803
0.166 0.834 0.500
0.834 0.166 0.500
0.500 0.500 0.500
0.000 0.000 0.000
```

=====

| no. | V (A^3/atom) |
| --- | --- |
| 1 | 30.1 |
| 2 | 26.6 |